1.
# Y2AlIn (PBE, relaxed)
# E, eV/atom: -5.30
# DFT formation energy, meV per atom: -450
data_Y2AlIn
_chemical_formula_sum 'Y2 Al1 In1'
_space_group_name_H-M_alt 'P m m m'
_space_group_IT_number 47
_cell_length_a 3.643
_cell_length_b 3.670
_cell_length_c 7.510
_cell_angle_alpha 90.00
_cell_angle_beta 90.00
_cell_angle_gamma 90.00
loop_
_space_group_symop_operation_xyz
'x,y,z'
'-x,-y,-z'
'-x,-y,z'
'x,y,-z'
'x,-y,-z'
'-x,y,z'
'-x,y,-z'
'x,-y,z'
loop_
_atom_site_label
_atom_site_fract_x
_atom_site_fract_y
_atom_site_fract_z
Y1 0.000 0.000 0.239
Al1 0.500 0.500 0.000
In1 0.500 0.500 0.500

2.
# La2MgW (PBE, relaxed)
# E, eV/atom: -5.65
# Energy above the lowest structure with this stoichiometry, eV per formula unit: 0.26
# DFT formation energy, meV per atom: 449
data_La2MgW
_chemical_formula_sum 'La4 Mg2 W2'
_space_group_name_H-M_alt 'C m m m'
_space_group_IT_number 65
_space_group_name_Hall '-C 2 2'
_cell_length_a 3.729
_cell_length_b 5.325
_cell_length_c 10.695
_cell_angle_alpha 90.00
_cell_angle_beta 90.00
_cell_angle_gamma 90.00
loop_
_atom_site_label
_atom_site_fract_x
_atom_site_fract_y
_atom_site_fract_z
La1 0.000 0.000 0.214
Mg1 0.000 0.500 0.500
W1 0.000 0.500 0.000

3.
# Ni2OsAu (PBE, relaxed)
# E, eV/atom: -6.09
# Energy above the lowest structure with this stoichiometry, eV per formula unit: 1.17
# DFT formation energy, meV per atom: 425
data_Ni2OsAu
_chemical_formula_sum 'Ni8 Os4 Au4'
_space_group_name_H-M_alt 'F m -3 m'
_space_group_IT_number 225
_space_group_name_Hall '-F 4 2 3'
_cell_length_a 6.004
_cell_length_b 6.004
_cell_length_c 6.004
_cell_angle_alpha 90.00
_cell_angle_beta 90.00
_cell_angle_gamma 90.00
loop_
_atom_site_label
_atom_site_fract_x
_atom_site_fract_y
_atom_site_fract_z
Ni1 0.250 0.250 0.250
Os1 0.000 0.000 0.000
Au1 0.000 0.000 0.500